44
Lattice="8.022 0.000 0.000 0.000 5.702 0.000 -2.021 0.000 13.556" Properties=species:S:1:pos:R:3 comment="Zr2Bi2O7, PBEsol geometry, DFT meta-GGA SCAN" total_magnetization_mub_per_atom=0.00 e_tot_ev_per_fu=-289.92 e_form_raw_mev_per_atom=-2522 pbc="T T T"
Zr -0.035 5.700 1.522
Zr 0.027 2.754 4.369
Zr 2.018 5.586 9.295
Zr 1.965 2.851 12.077
Zr 4.036 0.000 1.478
Zr 3.982 2.735 4.261
Zr 5.973 5.605 9.187
Zr 6.036 2.849 12.034
Bi -0.078 2.488 8.058
Bi -0.051 5.606 11.864
Bi 1.977 2.813 1.456
Bi 2.005 0.036 5.969
Bi 3.996 2.887 7.587
Bi 4.023 5.664 12.100
Bi 6.051 2.755 1.692
Bi 6.079 5.339 5.498
O -1.438 4.090 10.521
O -1.617 4.604 13.246
O 0.182 3.881 2.451
O -0.070 1.583 6.065
O 0.156 4.487 5.408
O -0.013 0.567 9.333
O -0.018 2.292 12.483
O 1.996 0.532 1.525
O 1.986 2.415 3.871
O 1.407 4.074 10.548
O 1.909 4.376 7.661
O 2.136 1.438 7.884
O 1.566 4.600 13.252
O 2.220 1.069 11.087
O 3.781 3.920 2.469
O 4.435 1.749 0.303
O 3.864 4.289 5.672
O 4.092 1.525 5.895
O 4.594 1.223 3.007
O 4.015 5.266 9.685
O 4.005 3.383 12.031
O 6.019 5.143 1.073
O 6.013 3.418 4.223
O 5.845 1.636 8.147
O 6.071 4.434 7.490
O 5.819 1.030 11.105
O 7.618 1.753 0.309
O 7.439 1.239 3.035

=====

24
Lattice="5.342 0.000 0.000 0.905 7.628 0.000 0.365 0.372 7.706" Properties=species:S:1:pos:R:3 comment="ZrBiO4, PBEsol geometry, DFT meta-GGA SCAN" total_magnetization_mub_per_atom=0.00 e_tot_ev_per_fu=-148.17 e_form_raw_mev_per_atom=-2328 pbc="T T T"
Zr 1.534 2.745 3.025
Zr 2.074 6.799 2.586
Zr 4.539 1.201 5.121
Zr 5.079 5.255 4.681
Bi 1.952 3.089 6.536
Bi 2.465 6.632 6.428
Bi 4.147 1.367 1.279
Bi 4.660 4.911 1.171
O 0.455 2.681 1.063
O 1.260 6.792 4.543
O 0.990 4.796 2.882
O 0.839 0.967 6.454
O 2.786 6.110 0.686
O 2.358 0.810 2.283
O 2.868 2.312 4.545
O 3.452 4.796 5.965
O 3.161 3.204 1.741
O 3.744 5.688 3.161
O 4.255 7.190 5.423
O 3.827 1.890 7.020
O 5.774 7.032 1.252
O 5.622 3.204 4.824
O 5.353 1.207 3.164
O 6.157 5.319 6.643

=====

12
Lattice="-2.627 2.627 5.317 2.627 -2.627 5.317 2.627 2.627 -5.317" Properties=species:S:1:pos:R:3 comment="ZrBiO4, PBEsol geometry, DFT meta-GGA SCAN" total_magnetization_mub_per_atom=0.00 e_tot_ev_per_fu=-147.78 e_form_raw_mev_per_atom=-2263 pbc="T T T"
Zr 0.000 1.314 1.329
Zr 2.627 1.314 3.988
Bi 2.627 1.314 -1.329
Bi 0.000 1.314 6.646
O 1.246 0.088 0.191
O 4.028 0.067 2.468
O 1.401 0.067 2.849
O 1.246 2.715 -0.191
O 1.381 -0.088 5.508
O 1.226 2.560 2.468
O -1.401 2.560 2.849
O 1.381 2.540 5.126

=====

5
Lattice="4.911 0.000 0.000 0.000 4.911 0.000 0.000 0.000 5.032" Properties=species:S:1:pos:R:3 comment="BiOs2PbW, PBEsol geometry, DFT meta-GGA SCAN" total_magnetization_mub_per_atom=0.54 delta_e_f_kcal_per_mol_atoms=68.90 e_tot_ev_per_fu=-352.87 pbc="T T T"
Bi 0.000 0.000 0.000
Os 0.000 2.456 2.516
Os 2.456 0.000 2.516
Pb 2.456 2.456 2.516
W 2.456 2.456 0.000

=====

5
Lattice="4.867 0.000 0.000 0.000 4.867 0.000 0.000 0.000 5.126" Properties=species:S:1:pos:R:3 comment="Zn2BiOsPb, PBEsol geometry, DFT meta-GGA SCAN" total_magnetization_mub_per_atom=0.00 delta_e_f_kcal_per_mol_atoms=12.10 e_tot_ev_per_fu=-250.65 pbc="T T T"
Zn 0.000 2.433 0.000
Zn 2.433 0.000 0.000
Bi 0.000 0.000 2.563
Os 0.000 0.000 0.000
Pb 2.433 2.433 2.563

=====

8
Lattice="-3.182 3.182 5.509 3.182 -3.182 5.509 3.182 3.182 -5.509" Properties=species:S:1:pos:R:3 comment="Bi2OsPd, PBEsol geometry, DFT meta-GGA SCAN" total_magnetization_mub_per_atom=0.00 delta_e_f_kcal_per_mol_atoms=16.33 e_tot_ev_per_fu=-258.98 pbc="T T T"
Bi 4.773 1.545 -1.377
Bi 1.545 1.591 1.377
Bi -1.591 1.637 4.132
Bi 1.637 1.591 6.886
Os 0.000 0.000 0.000
Os 0.000 3.182 2.754
Pd 3.182 0.000 2.754
Pd 0.000 0.000 5.509

=====

5
Lattice="5.412 0.000 0.000 0.000 5.412 0.000 0.000 0.000 5.412" Properties=species:S:1:pos:R:3 comment="RbBi3Os, PBEsol geometry, DFT meta-GGA SCAN" total_magnetization_mub_per_atom=0.00 delta_e_f_kcal_per_mol_atoms=11.88 e_tot_ev_per_fu=-325.78 relative_energy_kcal_per_mol_atoms=0.00 pbc="T T T"
Rb 0.000 0.000 0.000
Bi 0.000 2.706 2.706
Bi 2.706 0.000 2.706
Bi 2.706 2.706 0.000
Os 2.706 2.706 2.706

=====

5
Lattice="5.793 0.000 0.000 0.000 5.793 0.000 0.000 0.000 5.793" Properties=species:S:1:pos:R:3 comment="RbBi3Os, PBEsol geometry, DFT meta-GGA SCAN" total_magnetization_mub_per_atom=0.59 delta_e_f_kcal_per_mol_atoms=61.23 e_tot_ev_per_fu=-315.08 relative_energy_kcal_per_mol_atoms=49.35 pbc="T T T"
Rb 0.000 0.000 0.000
Bi 0.000 0.000 2.896
Bi 0.000 2.896 0.000
Bi 2.896 0.000 0.000
Os 2.896 2.896 2.896